K3CaGa after structural relaxation. Source: the Alexandria database, functional PBE.

Properties
DOS at the Fermi energy: 1.42 states/eV per atom
Formation energy: 68.3 kJ per mole of atoms
Energy above the lowest structure with this stoichiometry: 2.007 eV per formula unit

abc: 7.3470 7.3470 7.3470
angles: 90.00 90.00 90.00
Closest atoms and distances in Å follow each position.
Space group Pm-3m (No. 221)
Inequivalent atoms, fractional coordinates:
K 0.0000 0.0000 0.5000 (multiplicity 3)  2 Ca 3.67
Ca 0.0000 0.0000 0.0000 (multiplicity 1)  6 K 3.67
Ga 0.5000 0.5000 0.5000 (multiplicity 1)  12 K 5.20